<1>
Material: PuP2Ru4
Method: DFT, PBE
State: relaxed

Output
mass density	11.1	g/cm3
N(E_F)	13.9	states/eV/f.u.
space-group type	P4_2/mnm (136)
M_tot	4.6	μB per formula unit

Unit cell a=7.484 b=7.484 c=3.804 alpha=90.00 beta=90.00 gamma=90.00
Atoms (fractional coordinates):
1 Pu 0.000 0.000 0.000
2 Pu 0.500 0.500 0.500
3 P 0.224 0.224 0.500
4 P 0.276 0.724 0.000
5 P 0.724 0.276 0.000
6 P 0.776 0.776 0.500
7 Ru 0.075 0.662 0.500
8 Ru 0.162 0.425 0.000
9 Ru 0.338 0.925 0.500
10 Ru 0.425 0.162 0.000
11 Ru 0.575 0.838 0.000
12 Ru 0.662 0.075 0.500
13 Ru 0.838 0.575 0.000
14 Ru 0.925 0.338 0.500

<2>
Material: PuP2Ru4
Method: DFT, PBE
State: relaxed

Output
mass density	11.0	g/cm3
N(E_F)	13.9	states/eV/f.u.
space-group type	Cmmm (65)
M_tot	5.2	μB per formula unit

Unit cell a=7.118 b=7.118 c=3.943 alpha=90.00 beta=90.00 gamma=147.58
Atoms (fractional coordinates):
1 Pu 0.000 0.000 0.000
2 P 0.413 0.587 0.500
3 P 0.587 0.413 0.500
4 Ru 0.181 0.819 0.500
5 Ru 0.317 0.683 0.000
6 Ru 0.683 0.317 0.000
7 Ru 0.819 0.181 0.500

Decreasing stability: <1>, <2>

<1>
Material: Pu2PRu
Method: DFT, PBE
State: relaxed

Output
mass density	16.7	g/cm3
N(E_F)	7.5	states/eV/f.u.
space-group type	P4/mmm (123)
M_tot	1.1	μB per formula unit

Unit cell a=3.529 b=3.529 c=4.942 alpha=90.00 beta=90.00 gamma=90.00
Atoms (fractional coordinates):
1 Pu 0.000 0.500 0.000
2 Pu 0.500 0.000 0.000
3 P 0.000 0.000 0.500
4 Ru 0.500 0.500 0.500

<2>
Material: Pu2PRu
Method: DFT, PBE
State: relaxed

Output
mass density	13.6	g/cm3
N(E_F)	10.3	states/eV/f.u.
space-group type	P4/mmm (123)
M_tot	9.6	μB per formula unit

Unit cell a=3.628 b=3.628 c=5.754 alpha=90.00 beta=90.00 gamma=90.00
Atoms (fractional coordinates):
1 Pu 0.000 0.000 0.242
2 Pu 0.000 0.000 0.758
3 P 0.500 0.500 0.000
4 Ru 0.500 0.500 0.500

Decreasing stability: <2>, <1>

<1>
Material: PuSbP2
Method: DFT, PBE
State: relaxed

Output
mass density	9.0	g/cm3
N(E_F)	8.2	states/eV/f.u.
space-group type	P4/mmm (123)
M_tot	4.6	μB per formula unit

Unit cell a=4.598 b=4.598 c=3.725 alpha=90.00 beta=90.00 gamma=90.00
Atoms (fractional coordinates):
1 Pu 0.000 0.000 0.000
2 Sb 0.500 0.500 0.000
3 P 0.000 0.500 0.500
4 P 0.500 0.000 0.500

<2>
Material: PuSbP2
Method: DFT, PBE
State: relaxed

Output
mass density	6.4	g/cm3
N(E_F)	10.7	states/eV/f.u.
space-group type	R-3m (166)
M_tot	4.3	μB per formula unit

Unit cell a=8.344 b=8.344 c=8.344 alpha=27.75 beta=27.75 gamma=27.75
Atoms (fractional coordinates):
1 Pu 0.000 0.000 0.000
2 Sb 0.500 0.500 0.500
3 P 0.392 0.392 0.392
4 P 0.608 0.608 0.608

Decreasing stability: <1>, <2>

<1>
Material: PuScP2
Method: DFT, PBE
State: relaxed

Output
mass density	7.1	g/cm3
N(E_F)	8.4	states/eV/f.u.
space-group type	R-3m (166)
M_tot	4.9	μB per formula unit

Unit cell a=6.641 b=6.641 c=6.641 alpha=34.11 beta=34.11 gamma=34.11
Atoms (fractional coordinates):
1 Pu 0.000 0.000 0.000
2 Sc 0.500 0.500 0.500
3 P 0.247 0.247 0.247
4 P 0.753 0.753 0.753

<2>
Material: PuScP2
Method: DFT, PBE
State: relaxed

Output
mass density	6.8	g/cm3
N(E_F)	10.7	states/eV/f.u.
space-group type	P-3m1 (164)
M_tot	5.0	μB per formula unit

Unit cell a=3.828 b=3.828 c=6.745 alpha=90.00 beta=90.00 gamma=120.00
Atoms (fractional coordinates):
1 Pu 0.000 0.000 0.000
2 Sc 0.000 0.000 0.500
3 P 0.333 0.667 0.737
4 P 0.667 0.333 0.263

Decreasing stability: <1>, <2>

<1>
Material: Pu2PSe
Method: DFT, PBE
State: relaxed

Output
mass density	8.8	g/cm3
N(E_F)	14.2	states/eV/f.u.
space-group type	R3m (160)
M_tot	11.0	μB per formula unit

Unit cell a=6.418 b=6.418 c=6.418 alpha=43.45 beta=43.45 gamma=43.45
Atoms (fractional coordinates):
1 Pu 0.000 0.000 0.000
2 Pu 0.483 0.483 0.483
3 P 0.843 0.843 0.843
4 Se 0.646 0.646 0.646

<2>
Material: Pu2PSe
Method: DFT, PBE
State: relaxed

Output
mass density	10.3	g/cm3
N(E_F)	18.9	states/eV/f.u.
space-group type	R-3m (166)
M_tot	10.8	μB per formula unit

Unit cell a=7.116 b=7.116 c=7.116 alpha=33.29 beta=33.29 gamma=33.29
Atoms (fractional coordinates):
1 Pu 0.245 0.245 0.245
2 Pu 0.755 0.755 0.755
3 P 0.500 0.500 0.500
4 Se 0.000 0.000 0.000

<3>
Material: Pu2PSe
Method: DFT, PBE
State: relaxed

Output
mass density	10.1	g/cm3
N(E_F)	17.2	states/eV/f.u.
space-group type	P6_3/mmc (194)
M_tot	11.0	μB per formula unit

Unit cell a=4.063 b=4.063 c=13.777 alpha=90.00 beta=90.00 gamma=120.00
Atoms (fractional coordinates):
1 Pu 0.333 0.667 0.115
2 Pu 0.333 0.667 0.385
3 Pu 0.667 0.333 0.615
4 Pu 0.667 0.333 0.885
5 P 0.000 0.000 0.000
6 P 0.000 0.000 0.500
7 Se 0.333 0.667 0.750
8 Se 0.667 0.333 0.250

Decreasing stability: <2>, <3>, <1>

<1>
Material: Sm3PuP4
Method: DFT, PBE
State: relaxed

Output
mass density	7.1	g/cm3
N(E_F)	15.3	states/eV/f.u.
space-group type	Pm-3m (221)
M_tot	4.9	μB per formula unit

Unit cell a=5.768 b=5.768 c=5.768 alpha=90.00 beta=90.00 gamma=90.00
Atoms (fractional coordinates):
1 Sm 0.000 0.000 0.500
2 Sm 0.000 0.500 0.000
3 Sm 0.500 0.000 0.000
4 Pu 0.500 0.500 0.500
5 P 0.000 0.000 0.000
6 P 0.000 0.500 0.500
7 P 0.500 0.000 0.500
8 P 0.500 0.500 0.000

<2>
Material: Sm3PuP4
Method: DFT, PBE
State: relaxed

Output
mass density	7.1	g/cm3
N(E_F)	12.4	states/eV/f.u.
space-group type	Cmmm (65)
M_tot	4.9	μB per formula unit

Unit cell a=7.055 b=7.055 c=4.084 alpha=90.00 beta=90.00 gamma=109.48
Atoms (fractional coordinates):
1 Sm 0.000 0.000 0.000
2 Sm 0.000 0.500 0.500
3 Sm 0.500 0.000 0.500
4 Pu 0.500 0.500 0.000
5 P 0.254 0.746 0.000
6 P 0.258 0.258 0.500
7 P 0.742 0.742 0.500
8 P 0.746 0.254 0.000

Decreasing stability: <2>, <1>